Entry 1:
The following is a GGA-PBE calculation of a geometry-optimized AcMg2NbN4 structure, from the Alexandria database.

Geometry as CIF:
```
data_AcMg2NbN4
_chemical_formula_sum 'Ac2 Mg4 Nb2 N8'
_cell_length_a 7.589
_cell_length_b 5.948
_cell_length_c 5.605
_cell_angle_alpha 90.00
_cell_angle_beta 90.00
_cell_angle_gamma 90.00
_symmetry_space_group_name_H-M 'P m n 21'
_symmetry_Int_Tables_number 31
_symmetry_space_group_name_Hall 'P 2ac -2'
loop_
_atom_site_label
_atom_site_fract_x
_atom_site_fract_y
_atom_site_fract_z
_atom_site_occupancy
Ac1 0.000 0.182 0.000 1
Mg1 0.249 0.331 0.514 1
Nb1 0.000 0.801 0.518 1
N1 0.000 0.135 0.473 1
N2 0.000 0.773 0.869 1
N3 0.211 0.658 0.384 1
```

Values from the calculation:
**Calculated volume**: 253.0 Å³ per cell
**Formation energy without anion corrections**: -1.03 eV/atom


Entry 2:
The following is a GGA-PBE calculation of a geometry-optimized Nd2PuTh3S6 structure, from the Alexandria database.

Geometry as CIF:
```
data_Nd2PuTh3S6
_chemical_formula_sum 'Nd4 Pu2 Th6 S12'
_cell_length_a 17.639
_cell_length_b 4.035
_cell_length_c 8.069
_cell_angle_alpha 90.00
_cell_angle_beta 104.02
_cell_angle_gamma 90.00
_symmetry_space_group_name_H-M 'C 1 2/m 1'
_symmetry_Int_Tables_number 12
_symmetry_space_group_name_Hall '-C 2y'
loop_
_atom_site_label
_atom_site_fract_x
_atom_site_fract_y
_atom_site_fract_z
_atom_site_occupancy
Nd1 0.165 0.000 0.332 1
Pu1 0.000 0.500 0.000 1
Th1 0.000 0.500 0.500 1
Th2 0.168 0.000 0.836 1
S1 0.001 0.000 0.758 1
S2 0.164 0.500 0.083 1
S3 0.167 0.500 0.584 1
```

Values from the calculation:
**Calculated volume**: 557.2 Å³ per cell
**Formation energy without anion corrections**: -1.89 eV/atom


The following raw total energy values (in eV/atom) correspond, in order, to the records above: -7.363; -7.795.